(1)
Zr2TaW | PBE-GGA | relaxed

Cell: 9.4429 9.4429 9.4429 Å, 19.40 19.40 19.40°
Closest atoms and distances in Å follow each position.
Atoms (fractional coordinates):
Ta 0.4913 0.4913 0.4913  3 W 2.68
W 0.7545 0.7545 0.7545  3 Ta 2.68, 3 Zr 2.87
Zr 0.0087 0.0087 0.0087  3 W 2.87, 6 Zr 3.18
Zr 0.2455 0.2455 0.2455  3 Ta 3.05, 9 Zr 3.18-3.25

Computed properties:
Energy relative to the elements (eV per atom): 0.265
SG: No. 160

(2)
Rb2PC | PBE-GGA | relaxed

Cell: 5.4874 5.4874 5.4874 Å, 60.00 60.00 60.00°
Closest atoms and distances in Å follow each position.
Atoms (fractional coordinates):
P 0.5000 0.5000 0.5000  8 Rb 3.36
C 0.0000 0.0000 0.0000  8 Rb 3.36
Rb 0.2500 0.2500 0.2500  4 P 3.36, 4 C 3.36
Rb 0.7500 0.7500 0.7500  4 C 3.36, 4 P 3.36

Computed properties:
Energy relative to the elements (eV per atom): 1.624
SG: No. 225

(3)
TlIr3Ru | PBE-GGA | relaxed

Cell: 4.7545 4.7545 4.7545 Å, 90.00 90.00 90.00°
Closest atoms and distances in Å follow each position.
Atoms (fractional coordinates):
Ru 0.0000 0.0000 0.0000  6 Ir 2.38
Tl 0.5000 0.5000 0.5000  12 Ir 3.36
Ir 0.0000 0.5000 0.0000  2 Ru 2.38
Ir 0.0000 0.0000 0.5000  2 Ru 2.38
Ir 0.5000 0.0000 0.0000  2 Ru 2.38

Computed properties:
Energy relative to the elements (eV per atom): 1.593
SG: No. 221

(4)
DyCuIr | PBE-GGA | relaxed

Cell: 4.9809 5.2890 5.2890 Å, 63.32 61.91 61.91°
Closest atoms and distances in Å follow each position.
Atoms (fractional coordinates):
Dy 0.8759 0.3741 0.3741  6 Ir 3.00-3.14, 6 Cu 3.07-3.19, 4 Dy 3.13-3.34
Dy 0.1241 0.6259 0.6259  6 Ir 3.00-3.14, 6 Cu 3.07-3.19, 4 Dy 3.13-3.34
Cu 0.0000 0.0000 0.0000  2 Cu 2.49, 4 Ir 2.64
Cu 0.5000 0.0000 0.0000  2 Cu 2.49, 4 Ir 2.64
Ir 0.5000 0.5000 0.0000  4 Cu 2.64, 2 Ir 2.78
Ir 0.5000 0.0000 0.5000  4 Cu 2.64, 2 Ir 2.78

Computed properties:
Energy relative to the elements (eV per atom): -0.584
SG: No. 74

(5)
Pm4Dy5Y2 | PBE-GGA | relaxed

Cell: 5.6732 6.6190 10.0356 Å, 91.19 106.42 90.00°
Closest atoms and distances in Å follow each position.
Atoms (fractional coordinates):
Pm 0.3047 0.9278 0.6094  6 Dy 3.31-3.68, 2 Pm 3.67
Pm 0.9806 0.7132 0.9613  1 Pm 2.93, 1 Dy 3.10
Pm 0.6953 0.0722 0.3906  6 Dy 3.31-3.68, 2 Pm 3.67
Pm 0.0194 0.2868 0.0387  1 Pm 2.93, 1 Dy 3.10
Dy 0.7918 0.5976 0.5835  4 Dy 3.49-3.65, 5 Pm 3.59-3.91, 3 Y 3.69-3.74
Dy 0.2082 0.4024 0.4165  4 Dy 3.49-3.65, 5 Pm 3.59-3.91, 3 Y 3.69-3.74
Dy 0.8700 0.1046 0.7399  5 Pm 3.10-3.39
Dy 0.5000 0.0000 0.0000  6 Pm 3.43-3.78, 2 Y 3.55
Dy 0.1300 0.8954 0.2601  5 Pm 3.10-3.39
Y 0.4021 0.4481 0.8042  6 Dy 3.55-3.74, 6 Pm 3.65-3.89, 1 Y 3.82
Y 0.5979 0.5519 0.1958  6 Dy 3.55-3.74, 6 Pm 3.65-3.89, 1 Y 3.82

Computed properties:
Energy relative to the elements (eV per atom): 0.100
SG: No. 12

(6)
KPIr2 | PBE-GGA | relaxed

Cell: 4.0811 4.0811 4.0038 Å, 90.00 90.00 90.00°
Closest atoms and distances in Å follow each position.
Atoms (fractional coordinates):
Ir 0.0000 0.0000 0.0000  4 K 2.86, 4 P 2.86, 4 Ir 2.89
Ir 0.5000 0.5000 0.0000  4 K 2.86, 4 P 2.86, 4 Ir 2.89
K 0.5000 0.0000 0.5000  8 Ir 2.86, 4 P 2.89
P 0.0000 0.5000 0.5000  8 Ir 2.86, 4 K 2.89

Computed properties:
Energy relative to the elements (eV per atom): 1.003
SG: No. 123

(7)
CuHgIN2 | PBE-GGA | relaxed

Cell: 4.1790 4.1790 7.8937 Å, 90.00 90.00 90.00°
Closest atoms and distances in Å follow each position.
Atoms (fractional coordinates):
I 0.0000 0.0000 0.5000  4 Cu 2.95
Hg 0.0000 0.0000 0.0000  4 N 2.09
Cu 0.5000 0.5000 0.5000  4 I 2.95
N 0.0000 0.5000 0.0000  2 Hg 2.09
N 0.5000 0.0000 0.0000  2 Hg 2.09

Computed properties:
Formation energy without anion corrections (kJ/mol of formula units): 889
SG: No. 123

(8)
Ta11Rh4 | PBE-GGA | relaxed

Cell: 9.9532 9.9532 5.2019 Å, 90.00 90.00 90.00°
Closest atoms and distances in Å follow each position.
Atoms (fractional coordinates):
Rh 0.0657 0.2609 0.0000  9 Ta 2.68-2.92, 1 Rh 2.75
Rh 0.9343 0.7391 0.0000  9 Ta 2.68-2.92, 1 Rh 2.75
Rh 0.2391 0.5657 0.5000  9 Ta 2.68-2.92, 1 Rh 2.75
Rh 0.7609 0.4343 0.5000  9 Ta 2.68-2.92, 1 Rh 2.75
Rh 0.4343 0.7609 0.5000  9 Ta 2.68-2.92, 1 Rh 2.75
Rh 0.5657 0.2391 0.5000  9 Ta 2.68-2.92, 1 Rh 2.75
Rh 0.2609 0.0657 0.0000  9 Ta 2.68-2.92, 1 Rh 2.75
Rh 0.7391 0.9343 0.0000  9 Ta 2.68-2.92, 1 Rh 2.75
Ta 0.0000 0.0000 0.0000  4 Rh 2.68, 8 Ta 2.91-2.97
Ta 0.5000 0.5000 0.5000  4 Rh 2.68, 8 Ta 2.91-2.97
Ta 0.3981 0.6019 0.0000  5 Ta 2.76-2.97, 4 Rh 3.07
Ta 0.6019 0.3981 0.0000  5 Ta 2.76-2.97, 4 Rh 3.07
Ta 0.8981 0.8981 0.5000  5 Ta 2.76-2.97, 4 Rh 3.07
Ta 0.1019 0.1019 0.5000  5 Ta 2.76-2.97, 4 Rh 3.07
Ta 0.1289 0.5357 0.0000  2 Ta 2.66-2.76, 4 Rh 2.80-2.84
Ta 0.8711 0.4643 0.0000  2 Ta 2.66-2.76, 4 Rh 2.80-2.84
Ta 0.9643 0.6289 0.5000  2 Ta 2.66-2.76, 4 Rh 2.80-2.84
Ta 0.0357 0.3711 0.5000  2 Ta 2.66-2.76, 4 Rh 2.80-2.84
Ta 0.3711 0.0357 0.5000  2 Ta 2.66-2.76, 4 Rh 2.80-2.84
Ta 0.6289 0.9643 0.5000  2 Ta 2.66-2.76, 4 Rh 2.80-2.84
Ta 0.5357 0.1289 0.0000  2 Ta 2.66-2.76, 4 Rh 2.80-2.84
Ta 0.4643 0.8711 0.0000  2 Ta 2.66-2.76, 4 Rh 2.80-2.84
Ta 0.3154 0.3154 0.2470  2 Ta 2.57-2.63, 2 Rh 2.85
Ta 0.6846 0.6846 0.2470  2 Ta 2.57-2.63, 2 Rh 2.85
Ta 0.1846 0.8154 0.7470  2 Ta 2.57-2.63, 2 Rh 2.85
Ta 0.8154 0.1846 0.7470  2 Ta 2.57-2.63, 2 Rh 2.85
Ta 0.1846 0.8154 0.2530  2 Ta 2.57-2.63, 2 Rh 2.85
Ta 0.8154 0.1846 0.2530  2 Ta 2.57-2.63, 2 Rh 2.85
Ta 0.3154 0.3154 0.7530  2 Ta 2.57-2.63, 2 Rh 2.85
Ta 0.6846 0.6846 0.7530  2 Ta 2.57-2.63, 2 Rh 2.85

Computed properties:
Energy relative to the elements (eV per atom): -0.328
SG: No. 136

(9)
Hg2Pt | PBE-GGA | relaxed

Cell: 5.6029 5.6029 5.6029 Å, 60.00 60.00 60.00°
Closest atoms and distances in Å follow each position.
Atoms (fractional coordinates):
Hg 0.1250 0.6250 0.1250  6 Hg 2.80
Hg 0.1250 0.1250 0.6250  6 Hg 2.80
Hg 0.6250 0.1250 0.1250  6 Hg 2.80
Hg 0.1250 0.1250 0.1250  6 Hg 2.80
Pt 0.7500 0.7500 0.7500  12 Hg 3.28, 4 Pt 3.43
Pt 0.5000 0.5000 0.5000  12 Hg 3.28, 4 Pt 3.43

Computed properties:
Energy relative to the elements (eV per atom): 0.578
SG: No. 227

(10)
TaPtAu | PBE-GGA | relaxed

Cell: 5.4791 4.8632 7.8003 Å, 89.46 90.00 90.00°
Closest atoms and distances in Å follow each position.
Atoms (fractional coordinates):
Au 0.0539 0.6664 0.7524  5 Ta 2.79-3.07, 5 Pt 2.83-2.96, 2 Au 2.86
Au 0.5539 0.8336 0.7476  5 Ta 2.79-3.07, 5 Pt 2.83-2.96, 2 Au 2.86
Au 0.9461 0.3336 0.2476  5 Ta 2.79-3.07, 5 Pt 2.83-2.96, 2 Au 2.86
Au 0.4461 0.1664 0.2524  5 Ta 2.79-3.07, 5 Pt 2.83-2.96, 2 Au 2.86
Pt 0.8077 0.8217 0.4324  5 Ta 2.69-2.90, 5 Au 2.83-2.96, 1 Pt 2.93
Pt 0.3077 0.6783 0.0676  5 Ta 2.69-2.90, 5 Au 2.83-2.96, 1 Pt 2.93
Pt 0.1923 0.1783 0.5676  5 Ta 2.69-2.90, 5 Au 2.83-2.96, 1 Pt 2.93
Pt 0.6923 0.3217 0.9324  5 Ta 2.69-2.90, 5 Au 2.83-2.96, 1 Pt 2.93
Ta 0.7947 0.8194 0.0875  5 Pt 2.69-2.90, 4 Au 2.79-2.96
Ta 0.2947 0.6806 0.4125  5 Pt 2.69-2.90, 4 Au 2.79-2.96
Ta 0.2053 0.1806 0.9125  5 Pt 2.69-2.90, 4 Au 2.79-2.96
Ta 0.7053 0.3194 0.5875  5 Pt 2.69-2.90, 4 Au 2.79-2.96

Computed properties:
Energy relative to the elements (eV per atom): -0.336
SG: No. 14

(11)
AcCu2 | PBE-GGA | relaxed

Cell: 5.5912 5.5912 5.5912 Å, 60.00 60.00 60.00°
Closest atoms and distances in Å follow each position.
Atoms (fractional coordinates):
Ac 0.0000 0.0000 0.0000  12 Cu 3.28, 4 Ac 3.42
Ac 0.2500 0.2500 0.2500  12 Cu 3.28, 4 Ac 3.42
Cu 0.1250 0.6250 0.6250  6 Cu 2.80
Cu 0.6250 0.1250 0.6250  6 Cu 2.80
Cu 0.6250 0.6250 0.6250  6 Cu 2.80
Cu 0.6250 0.6250 0.1250  6 Cu 2.80

Computed properties:
Energy relative to the elements (eV per atom): 0.050
SG: No. 227

Computed Fermi-level density of states, in the same sequence as the records: 1.202 1.404 1.085 0.587 1.546 0.751 0.464 0.745 0.649 0.650 0.823 states/eV/atom.